DFT (PBE with a Hubbard U) results for a relaxed Ti3CoF crystal.

## Properties
The total energy comes out at -6.34 eV per atom. The distance to the lowest polymorph of the same formula is 0 meV per atom.

a = 4.0903 Å, b = 4.0903 Å, c = 4.0903 Å
α = 90.00°, β = 90.00°, γ = 90.00°
Closest atoms and distances in Å follow each position.
Fractional positions:
1 Ti 0.0000 0.0000 0.5000  2 F 2.05
2 Ti 0.0000 0.5000 0.0000  2 F 2.05
3 Ti 0.5000 0.0000 0.0000  2 F 2.05
4 Co 0.5000 0.5000 0.5000  12 Ti 2.89
5 F 0.0000 0.0000 0.0000  6 Ti 2.05